(1)
# CaY2Re

An optimized crystal structure of CaY2Re (GGA-PBE, the Alexandria database).

Computed properties:
Space-group type: F-43m, No. 216
Calculated formation energy in eV per atom: 0.542
DOS at the Fermi energy in states/eV per atom: 1.31
Total magnetization in μB/f.u.: 0.0
E_tot in eV for the cell shown: -25.21
Polymorph energy (0 for the lowest one) in meV per atom: 402.0

```
data_CaY2Re
_symmetry_space_group_name_H-M 'P 1'
_symmetry_Int_Tables_number 1
_symmetry_space_group_name_Hall 'P 1'
_cell_length_a 5.1855
_cell_length_b 5.1855
_cell_length_c 5.1855
_cell_angle_alpha 60.00
_cell_angle_beta 60.00
_cell_angle_gamma 60.00
loop_
_atom_site_label
_atom_site_type_symbol
_atom_site_fract_x
_atom_site_fract_y
_atom_site_fract_z
Ca1 Ca 0.0000 0.0000 0.0000
Y1 Y 0.5000 0.5000 0.5000
Y2 Y 0.7500 0.7500 0.7500
Re1 Re 0.2500 0.2500 0.2500
```

=====

(2)
# PmCd2Au3

An optimized crystal structure of PmCd2Au3 (GGA-PBE, the Alexandria database).

Computed properties:
Space-group type: P-3m1, No. 164
Calculated formation energy in eV per atom: -0.484
DOS at the Fermi energy in states/eV per atom: 0.45
Total magnetization in μB/f.u.: 0.0
E_tot in eV for the cell shown: -38.63
Polymorph energy (0 for the lowest one) in meV per atom: 0.0

```
data_PmCd2Au3
_symmetry_space_group_name_H-M 'P 1'
_symmetry_Int_Tables_number 1
_symmetry_space_group_name_Hall 'P 1'
_cell_length_a 4.8629
_cell_length_b 4.8629
_cell_length_c 12.6600
_cell_angle_alpha 90.00
_cell_angle_beta 90.00
_cell_angle_gamma 120.00
loop_
_atom_site_label
_atom_site_type_symbol
_atom_site_fract_x
_atom_site_fract_y
_atom_site_fract_z
Pm1 Pm 0.3333 0.6667 0.1738
Pm2 Pm 0.6667 0.3333 0.8262
Cd1 Cd 0.0000 0.0000 0.0000
Cd2 Cd 0.0000 0.0000 0.5000
Cd3 Cd 0.3333 0.6667 0.6625
Cd4 Cd 0.6667 0.3333 0.3375
Au1 Au 0.0000 0.0000 0.2727
Au2 Au 0.0000 0.0000 0.7273
Au3 Au 0.3333 0.6667 0.4224
Au4 Au 0.3333 0.6667 0.9302
Au5 Au 0.6667 0.3333 0.0698
Au6 Au 0.6667 0.3333 0.5776
```

=====

(3)
# La2FeOs2

An optimized crystal structure of La2FeOs2 (GGA-PBE, the Alexandria database).

Computed properties:
Space-group type: P4/mbm, No. 127
Calculated formation energy in eV per atom: 0.159
DOS at the Fermi energy in states/eV per atom: 0.86
Total magnetization in μB/f.u.: 2.6
E_tot in eV for the cell shown: -79.96

```
data_La2FeOs2
_symmetry_space_group_name_H-M 'P 1'
_symmetry_Int_Tables_number 1
_symmetry_space_group_name_Hall 'P 1'
_cell_length_a 6.7026
_cell_length_b 6.7026
_cell_length_c 4.7781
_cell_angle_alpha 90.00
_cell_angle_beta 90.00
_cell_angle_gamma 90.00
loop_
_atom_site_label
_atom_site_type_symbol
_atom_site_fract_x
_atom_site_fract_y
_atom_site_fract_z
La1 La 0.1829 0.3171 0.0000
La2 La 0.3171 0.8171 0.0000
La3 La 0.6829 0.1829 0.0000
La4 La 0.8171 0.6829 0.0000
Fe1 Fe 0.0000 0.0000 0.5000
Fe2 Fe 0.5000 0.5000 0.5000
Os1 Os 0.1316 0.6316 0.5000
Os2 Os 0.3684 0.1316 0.5000
Os3 Os 0.6316 0.8684 0.5000
Os4 Os 0.8684 0.3684 0.5000
```

=====

(4)
# Ta2BeC

An optimized crystal structure of Ta2BeC (GGA-PBE, the Alexandria database).

Computed properties:
Space-group type: I-42d, No. 122
Calculated formation energy in eV per atom: 0.736
DOS at the Fermi energy in states/eV per atom: 0.22
Total magnetization in μB/f.u.: 0.0
E_tot in eV for the cell shown: -67.42
Polymorph energy (0 for the lowest one) in meV per atom: 1002.3

```
data_Ta2BeC
_symmetry_space_group_name_H-M 'P 1'
_symmetry_Int_Tables_number 1
_symmetry_space_group_name_Hall 'P 1'
_cell_length_a 6.0643
_cell_length_b 6.0643
_cell_length_c 6.0643
_cell_angle_alpha 129.57
_cell_angle_beta 129.57
_cell_angle_gamma 74.10
loop_
_atom_site_label
_atom_site_type_symbol
_atom_site_fract_x
_atom_site_fract_y
_atom_site_fract_z
Ta1 Ta 0.0727 0.6250 0.9477
Ta2 Ta 0.3750 0.3227 0.4477
Ta3 Ta 0.6773 0.1250 0.0523
Ta4 Ta 0.8750 0.9273 0.5523
Be1 Be 0.2500 0.7500 0.5000
Be2 Be 0.5000 0.5000 0.0000
C1 C 0.0000 0.0000 0.0000
C2 C 0.7500 0.2500 0.5000
```

=====

(5)
# Dy4Te3Se2

An optimized crystal structure of Dy4Te3Se2 (GGA-PBE, the Alexandria database).

Computed properties:
Space-group type: C2/m, No. 12
DOS at the Fermi energy in states/eV per atom: 0.31
ΔE_f (raw) in kJ per mole of atoms: -147.1
Total magnetization in μB/f.u.: 0.0
E_tot in eV for the cell shown: -48.52

```
data_Dy4Te3Se2
_symmetry_space_group_name_H-M 'P 1'
_symmetry_Int_Tables_number 1
_symmetry_space_group_name_Hall 'P 1'
_cell_length_a 7.4339
_cell_length_b 7.4339
_cell_length_c 9.1703
_cell_angle_alpha 98.87
_cell_angle_beta 98.87
_cell_angle_gamma 31.49
loop_
_atom_site_label
_atom_site_type_symbol
_atom_site_fract_x
_atom_site_fract_y
_atom_site_fract_z
Dy1 Dy 0.0703 0.0703 0.1765
Dy2 Dy 0.3396 0.3396 0.3921
Dy3 Dy 0.6604 0.6604 0.6079
Dy4 Dy 0.9297 0.9297 0.8235
Te1 Te 0.0000 0.0000 0.5000
Te2 Te 0.3985 0.3985 0.0883
Te3 Te 0.6015 0.6015 0.9117
Se1 Se 0.2973 0.2973 0.6901
Se2 Se 0.7027 0.7027 0.3099
```

=====

(6)
# Te2HRh

An optimized crystal structure of Te2HRh (GGA-PBE, the Alexandria database).

Computed properties:
Space-group type: Fm-3m, No. 225
DOS at the Fermi energy in states/eV per atom: 0.02
Total magnetization in μB/f.u.: 0.0
E_tot in eV for the cell shown: -16.10
Polymorph energy (0 for the lowest one) in meV per atom: 357.1

```
data_Te2HRh
_symmetry_space_group_name_H-M 'P 1'
_symmetry_Int_Tables_number 1
_symmetry_space_group_name_Hall 'P 1'
_cell_length_a 4.6172
_cell_length_b 4.6172
_cell_length_c 4.6172
_cell_angle_alpha 60.00
_cell_angle_beta 60.00
_cell_angle_gamma 60.00
loop_
_atom_site_label
_atom_site_type_symbol
_atom_site_fract_x
_atom_site_fract_y
_atom_site_fract_z
Te1 Te 0.2500 0.2500 0.2500
Te2 Te 0.7500 0.7500 0.7500
H1 H 0.0000 0.0000 0.0000
Rh1 Rh 0.5000 0.5000 0.5000
```

=====

(7)
# PrDy4Ag2

An optimized crystal structure of PrDy4Ag2 (GGA-PBE, the Alexandria database).

Computed properties:
Space-group type: R-3m, No. 166
Calculated formation energy in eV per atom: 0.167
DOS at the Fermi energy in states/eV per atom: 1.63
Total magnetization in μB/f.u.: 1.3
E_tot in eV for the cell shown: -27.72

```
data_PrDy4Ag2
_symmetry_space_group_name_H-M 'P 1'
_symmetry_Int_Tables_number 1
_symmetry_space_group_name_Hall 'P 1'
_cell_length_a 10.8735
_cell_length_b 10.8735
_cell_length_c 10.8735
_cell_angle_alpha 26.16
_cell_angle_beta 26.16
_cell_angle_gamma 26.16
loop_
_atom_site_label
_atom_site_type_symbol
_atom_site_fract_x
_atom_site_fract_y
_atom_site_fract_z
Pr1 Pr 0.0000 0.0000 0.0000
Dy1 Dy 0.2010 0.2010 0.2010
Dy2 Dy 0.3975 0.3975 0.3975
Dy3 Dy 0.6025 0.6025 0.6025
Dy4 Dy 0.7990 0.7990 0.7990
Ag1 Ag 0.1026 0.1026 0.1026
Ag2 Ag 0.8974 0.8974 0.8974
```

=====

(8)
# RbIr2O7

An optimized crystal structure of RbIr2O7 (GGA-PBE, the Alexandria database).

Computed properties:
Space-group type: Cmmm, No. 65
DOS at the Fermi energy in states/eV per atom: 0.80
ΔE_f (raw) in kJ per mole of atoms: -48.3
Total magnetization in μB/f.u.: 0.0
E_tot in eV for the cell shown: -58.41

```
data_RbIr2O7
_symmetry_space_group_name_H-M 'P 1'
_symmetry_Int_Tables_number 1
_symmetry_space_group_name_Hall 'P 1'
_cell_length_a 6.1858
_cell_length_b 6.1858
_cell_length_c 3.8353
_cell_angle_alpha 90.00
_cell_angle_beta 90.00
_cell_angle_gamma 120.09
loop_
_atom_site_label
_atom_site_type_symbol
_atom_site_fract_x
_atom_site_fract_y
_atom_site_fract_z
Rb1 Rb 0.0000 0.0000 0.0000
Ir1 Ir 0.3145 0.6855 0.5000
Ir2 Ir 0.6855 0.3145 0.5000
O1 O 0.0351 0.3399 0.5000
O2 O 0.3037 0.6963 0.0000
O3 O 0.3399 0.0351 0.5000
O4 O 0.5000 0.5000 0.5000
O5 O 0.6601 0.9649 0.5000
O6 O 0.6963 0.3037 0.0000
O7 O 0.9649 0.6601 0.5000
```

=====

(9)
# Sc3Pt2Rh

An optimized crystal structure of Sc3Pt2Rh (GGA-PBE, the Alexandria database).

Computed properties:
Space-group type: Cmmm, No. 65
Calculated formation energy in eV per atom: -1.165
DOS at the Fermi energy in states/eV per atom: 0.53
Total magnetization in μB/f.u.: 0.0
E_tot in eV for the cell shown: -90.84

```
data_Sc3Pt2Rh
_symmetry_space_group_name_H-M 'P 1'
_symmetry_Int_Tables_number 1
_symmetry_space_group_name_Hall 'P 1'
_cell_length_a 7.3299
_cell_length_b 7.3299
_cell_length_c 6.5505
_cell_angle_alpha 90.00
_cell_angle_beta 90.00
_cell_angle_gamma 143.11
loop_
_atom_site_label
_atom_site_type_symbol
_atom_site_fract_x
_atom_site_fract_y
_atom_site_fract_z
Sc1 Sc 0.0000 0.0000 0.2484
Sc2 Sc 0.0000 0.0000 0.7516
Sc3 Sc 0.3318 0.6682 0.2473
Sc4 Sc 0.3318 0.6682 0.7527
Sc5 Sc 0.6682 0.3318 0.2473
Sc6 Sc 0.6682 0.3318 0.7527
Pt1 Pt 0.1654 0.8346 0.5000
Pt2 Pt 0.5000 0.5000 0.0000
Pt3 Pt 0.5000 0.5000 0.5000
Pt4 Pt 0.8346 0.1654 0.5000
Rh1 Rh 0.1677 0.8323 0.0000
Rh2 Rh 0.8323 0.1677 0.0000
```

=====

(10)
# La3Sm6Tm

An optimized crystal structure of La3Sm6Tm (GGA-PBE, the Alexandria database).

Computed properties:
Space-group type: Cmc2_1, No. 36
Calculated formation energy in eV per atom: 0.179
DOS at the Fermi energy in states/eV per atom: 1.46
Total magnetization in μB/f.u.: 0.0
E_tot in eV for the cell shown: -91.57

```
data_La3Sm6Tm
_symmetry_space_group_name_H-M 'P 1'
_symmetry_Int_Tables_number 1
_symmetry_space_group_name_Hall 'P 1'
_cell_length_a 10.5860
_cell_length_b 10.5860
_cell_length_c 6.3583
_cell_angle_alpha 90.00
_cell_angle_beta 90.00
_cell_angle_gamma 100.89
loop_
_atom_site_label
_atom_site_type_symbol
_atom_site_fract_x
_atom_site_fract_y
_atom_site_fract_z
La1 La 0.1361 0.8639 0.5000
La2 La 0.2194 0.3668 0.8649
La3 La 0.3668 0.2194 0.3649
La4 La 0.6332 0.7806 0.8649
La5 La 0.7806 0.6332 0.3649
La6 La 0.8639 0.1361 0.0000
Sm1 Sm 0.0595 0.1784 0.4849
Sm2 Sm 0.0677 0.4864 0.3167
Sm3 Sm 0.1784 0.0595 0.9849
Sm4 Sm 0.2420 0.7580 0.0272
Sm5 Sm 0.4397 0.5603 0.1468
Sm6 Sm 0.4864 0.0677 0.8167
Sm7 Sm 0.5136 0.9323 0.3167
Sm8 Sm 0.5603 0.4397 0.6468
Sm9 Sm 0.7580 0.2420 0.5272
Sm10 Sm 0.8216 0.9405 0.4849
Sm11 Sm 0.9323 0.5136 0.8167
Sm12 Sm 0.9405 0.8216 0.9849
Tm1 Tm 0.3475 0.6525 0.5941
Tm2 Tm 0.6525 0.3475 0.0941
```